## Lu4Ge3Mo2C3 (PBE)

Data for Lu4Ge3Mo2C3 after structural relaxation.

abc: 5.7851 5.7851 13.9011
angles: 101.82 101.82 60.61
Closest atoms and distances in Å follow each position.
Element x y z (fractional)
Lu: 0.0420 0.1904 0.1003  3 C 2.38-2.41
Lu: 0.1250 0.2999 0.3994  3 C 2.38-2.40
Lu: 0.1904 0.0420 0.6003  3 C 2.38-2.41
Lu: 0.2999 0.1250 0.8994  3 C 2.38-2.40
Lu: 0.7001 0.8750 0.1006  3 C 2.38-2.40
Lu: 0.8096 0.9580 0.3997  3 C 2.38-2.41
Lu: 0.8750 0.7001 0.6006  3 C 2.38-2.40
Lu: 0.9580 0.8096 0.8997  3 C 2.38-2.41
Ge: 0.1634 0.8366 0.2500  2 Ge 2.64, 2 Mo 2.76
Ge: 0.3133 0.4194 0.7513  2 Ge 2.64-2.68, 2 Mo 2.81-2.85, 2 Lu 2.94-2.95
Ge: 0.4194 0.3133 0.2513  2 Ge 2.64-2.68, 2 Mo 2.81-2.85, 2 Lu 2.94-2.95
Ge: 0.5806 0.6867 0.7487  2 Ge 2.64-2.68, 2 Mo 2.81-2.85, 2 Lu 2.94-2.95
Ge: 0.6867 0.5806 0.2487  2 Ge 2.64-2.68, 2 Mo 2.81-2.85, 2 Lu 2.94-2.95
Ge: 0.8366 0.1634 0.7500  2 Ge 2.64, 2 Mo 2.76
Mo: 0.3476 0.5232 0.0761  3 C 2.12-2.14
Mo: 0.4768 0.6524 0.4239  3 C 2.12-2.14
Mo: 0.5232 0.3476 0.5761  3 C 2.12-2.14
Mo: 0.6524 0.4768 0.9239  3 C 2.12-2.14
C: 0.0000 0.5000 0.0000  2 Mo 2.12
C: 0.1886 0.6558 0.5000  2 Mo 2.14, 2 Lu 2.38
C: 0.3442 0.8114 0.0000  2 Mo 2.14, 2 Lu 2.38
C: 0.5000 0.0000 0.5000  2 Mo 2.12
C: 0.6558 0.1886 0.0000  2 Mo 2.14, 2 Lu 2.38
C: 0.8114 0.3442 0.5000  2 Mo 2.14, 2 Lu 2.38

=====

## GdCdCu (PBE)

Data for GdCdCu after structural relaxation.

abc: 8.2930 8.2930 3.2536
angles: 90.00 90.00 120.00
Closest atoms and distances in Å follow each position.
Element x y z (fractional)
Gd: 0.0000 0.3009 0.0000  4 Cd 2.91-2.98, 6 Cu 3.22-3.24, 2 Gd 3.25
Gd: 0.3009 0.0000 0.0000  4 Cd 2.91-2.98, 6 Cu 3.22-3.24, 2 Gd 3.25
Gd: 0.6991 0.6991 0.0000  4 Cd 2.91-2.98, 6 Cu 3.22-3.24, 2 Gd 3.25
Cd: 0.0000 0.0000 0.5000  6 Gd 2.98, 3 Cu 3.00, 2 Cd 3.25
Cd: 0.3333 0.6667 0.0000  3 Gd 2.91, 6 Cu 3.11, 2 Cd 3.25
Cd: 0.6667 0.3333 0.0000  3 Gd 2.91, 6 Cu 3.11, 2 Cd 3.25
Cu: 0.0000 0.6387 0.5000  5 Cd 3.00-3.11, 6 Gd 3.22-3.24, 2 Cu 3.25
Cu: 0.3613 0.3613 0.5000  5 Cd 3.00-3.11, 6 Gd 3.22-3.24, 2 Cu 3.25
Cu: 0.6387 0.0000 0.5000  5 Cd 3.00-3.11, 6 Gd 3.22-3.24, 2 Cu 3.25

Energy of formation from the pure elements (eV per formula unit): 0.232
E above lowest polymorph (eV per atom): 0.375

=====

## InCuTePbS2 (PBE)

Data for InCuTePbS2 after structural relaxation.

abc: 7.1128 7.1128 11.8149
angles: 90.00 90.00 149.21
Closest atoms and distances in Å follow each position.
Element x y z (fractional)
In: 0.2066 0.7934 0.7500  4 S 2.74
In: 0.7934 0.2066 0.2500  4 S 2.74
Cu: 0.4740 0.5260 0.2500  2 S 2.36
Cu: 0.5260 0.4740 0.7500  2 S 2.36
Te: 0.1099 0.8901 0.2500  2 Cu 2.65
Te: 0.8901 0.1099 0.7500  2 Cu 2.65
Pb: 0.0000 0.0000 0.0000  4 S 2.94
Pb: 0.0000 0.0000 0.5000  4 S 2.94
S: 0.3597 0.6403 0.1002  1 Cu 2.36
S: 0.3597 0.6403 0.3998  1 Cu 2.36
S: 0.6403 0.3597 0.6002  1 Cu 2.36
S: 0.6403 0.3597 0.8998  1 Cu 2.36

=====

## Cu2Ag (PBE)

Data for Cu2Ag after structural relaxation.

abc: 4.7185 4.7185 10.8577
angles: 111.94 111.94 34.22
Closest atoms and distances in Å follow each position.
Element x y z (fractional)
Cu: 0.0000 0.0000 0.0000  7 Cu 2.46-2.73, 2 Ag 2.67
Cu: 0.0005 0.0005 0.3358  4 Cu 2.68-2.78, 8 Ag 2.73-2.91
Cu: 0.3319 0.3319 0.8094  6 Cu 2.46-2.56, 2 Ag 2.67
Cu: 0.3472 0.3472 0.1105  8 Cu 2.54-2.78, 3 Ag 2.69-2.70
Cu: 0.6714 0.6714 0.9105  12 Cu 2.54-2.82
Cu: 0.9971 0.9971 0.7110  7 Cu 2.54-2.78, 3 Ag 2.74-2.77
Ag: 0.3370 0.3370 0.4633  7 Ag 2.72-2.84, 5 Cu 2.76-2.87
Ag: 0.6633 0.6633 0.5890  7 Cu 2.67-2.91, 5 Ag 2.72-2.81
Ag: 0.6716 0.6716 0.2192  8 Cu 2.67-2.73, 4 Ag 2.78-2.84

Energy of formation from the pure elements (eV per formula unit): 0.245
E above lowest polymorph (eV per atom): 0.036

=====

## Hf3CuSe5 (PBE)

Data for Hf3CuSe5 after structural relaxation.

abc: 6.2017 6.2017 7.2597
angles: 90.00 90.00 120.00
Closest atoms and distances in Å follow each position.
Element x y z (fractional)
Hf: 0.0000 0.5000 0.0000  4 Se 2.65
Hf: 0.5000 0.0000 0.0000  4 Se 2.65
Hf: 0.5000 0.5000 0.0000  4 Se 2.65
Cu: 0.0000 0.0000 0.5000  14 Se 3.63-3.95
Se: 0.0000 0.0000 0.0000  6 Hf 3.10
Se: 0.3333 0.6667 0.2694  3 Hf 2.65
Se: 0.3333 0.6667 0.7306  3 Hf 2.65
Se: 0.6667 0.3333 0.2694  3 Hf 2.65
Se: 0.6667 0.3333 0.7306  3 Hf 2.65

=====

## YPd2Pb (PBE)

Data for YPd2Pb after structural relaxation.

abc: 4.6908 4.6908 3.7785
angles: 90.00 90.00 90.75
Closest atoms and distances in Å follow each position.
Element x y z (fractional)
Y: 0.0000 0.0000 0.0000  8 Pd 3.01, 4 Pb 3.30-3.34
Pd: 0.0000 0.5000 0.5000  4 Pb 3.01, 4 Y 3.01, 4 Pd 3.30-3.34
Pd: 0.5000 0.0000 0.5000  4 Pb 3.01, 4 Y 3.01, 4 Pd 3.30-3.34
Pb: 0.5000 0.5000 0.0000  8 Pd 3.01, 4 Y 3.30-3.34

=====

| no. | uncorrected energy (eV per atom) |
| --- | --- |
| 1 | -7.3231 |
| 2 | -3.0114 |
| 3 | -3.8346 |
| 4 | -3.3379 |
| 5 | -6.2426 |
| 6 | -5.7431 |